Ac2SmNiO6: relaxed, GGA+U.

Its space group is No. 12. For the electronic total energy, the calculation gives -7.1762 eV/atom. Its total moment is 1.0 μB/cell.

```
Ac2SmNiO6
1.0
5.872 0.000 -0.456
0.000 5.689 0.000
-2.883 -2.844 4.645
Ac Sm Ni O
2 1 1 6
direct
0.244 0.260 0.519 Ac
0.756 0.740 0.481 Ac
0.000 0.500 0.000 Sm
0.500 0.000 0.000 Ni
0.355 0.755 0.510 O
0.218 0.178 0.885 O
0.782 0.293 0.115 O
0.218 0.707 0.885 O
0.782 0.822 0.115 O
0.645 0.245 0.490 O
```